## a
An optimized crystal structure of KLiBr. Source: the Alexandria database, functional GGA-PBE.

Lattice parameters (Å, degrees): 7.563 7.563 7.391 113.47 113.47 33.72
Atoms (fractional coordinates):
K: 0.000 0.000 0.000
K: 0.632 0.632 0.577
Li: 0.307 0.307 0.103
Li: 0.890 0.890 0.411
Br: 0.318 0.318 0.771
Br: 0.706 0.706 0.130

As for the density of states at the Fermi level: 1.859 states/eV per cell. The calculation puts the magnetic moment at 0.0 μB/cell. Its symmetry is Cm. For the theoretical density, the calculation gives 1.960 g cm⁻³.



## b
An optimized crystal structure of KLiBr. Source: the Alexandria database, functional GGA-PBE.

Lattice parameters (Å, degrees): 7.232 4.023 7.894 90.00 116.32 90.00
Atoms (fractional coordinates):
K: 0.000 0.000 0.000
K: 0.307 0.000 0.613
Li: 0.505 0.500 0.089
Li: 0.707 0.000 0.410
Br: 0.682 0.500 0.636
Br: 0.915 0.500 0.309

As for the density of states at the Fermi level: 1.276 states/eV per cell. The calculation puts the magnetic moment at 0.0 μB/cell. Its symmetry is Pm. For the theoretical density, the calculation gives 2.032 g cm⁻³.



Which one sits at the bottom of the stability order? b does.



## a
An optimized crystal structure of K2LiBr3. Source: the Alexandria database, functional GGA-PBE.

Lattice parameters (Å, degrees): 9.393 4.510 18.184 90.00 90.00 90.00
Atoms (fractional coordinates):
K: 0.081 0.250 0.214
K: 0.241 0.250 0.955
K: 0.259 0.750 0.455
K: 0.419 0.750 0.714
K: 0.581 0.250 0.286
K: 0.741 0.250 0.545
K: 0.759 0.750 0.045
K: 0.919 0.750 0.786
Li: 0.127 0.250 0.632
Li: 0.373 0.750 0.132
Li: 0.627 0.250 0.868
Li: 0.873 0.750 0.368
Br: 0.000 0.250 0.399
Br: 0.000 0.750 0.601
Br: 0.130 0.750 0.073
Br: 0.180 0.250 0.770
Br: 0.320 0.750 0.270
Br: 0.370 0.250 0.573
Br: 0.500 0.250 0.101
Br: 0.500 0.750 0.899
Br: 0.630 0.750 0.427
Br: 0.680 0.250 0.730
Br: 0.820 0.750 0.230
Br: 0.870 0.250 0.927

As for the density of states at the Fermi level: 0.000 states/eV per cell. The calculation puts the magnetic moment at 0.0 μB/cell. Its symmetry is Pnma. For the theoretical density, the calculation gives 2.801 g cm⁻³.



## b
An optimized crystal structure of K2LiBr3. Source: the Alexandria database, functional GGA-PBE.

Lattice parameters (Å, degrees): 7.834 7.834 8.685 106.13 106.13 50.51
Atoms (fractional coordinates):
K: 0.173 0.173 0.087
K: 0.173 0.173 0.587
K: 0.827 0.827 0.413
K: 0.827 0.827 0.913
Li: 0.436 0.564 0.750
Li: 0.564 0.436 0.250
Br: 0.054 0.946 0.750
Br: 0.358 0.359 0.930
Br: 0.359 0.358 0.430
Br: 0.641 0.642 0.570
Br: 0.642 0.641 0.070
Br: 0.946 0.054 0.250

As for the density of states at the Fermi level: 0.000 states/eV per cell. The calculation puts the magnetic moment at 0.0 μB/cell. Its symmetry is C2/c. For the theoretical density, the calculation gives 2.756 g cm⁻³.



Which one sits at the bottom of the stability order? b does.



## a
An optimized crystal structure of K2LiSbBr6. Source: the Alexandria database, functional GGA-PBE.

Lattice parameters (Å, degrees): 8.496 8.496 8.496 54.84 54.84 54.84
Atoms (fractional coordinates):
K: 0.000 0.000 0.000
K: 0.499 0.499 0.499
Li: 0.778 0.778 0.778
Sb: 0.202 0.202 0.202
Br: 0.058 0.845 0.436
Br: 0.327 0.529 0.957
Br: 0.436 0.058 0.845
Br: 0.529 0.957 0.327
Br: 0.845 0.436 0.058
Br: 0.957 0.327 0.529

As for the density of states at the Fermi level: 0.000 states/eV per cell. The calculation puts the magnetic moment at 0.0 μB/cell. Its symmetry is R3. For the theoretical density, the calculation gives 2.987 g cm⁻³.



## b
An optimized crystal structure of K2LiSbBr6. Source: the Alexandria database, functional GGA-PBE.

Lattice parameters (Å, degrees): 7.819 7.819 7.819 60.00 60.00 60.00
Atoms (fractional coordinates):
K: 0.250 0.250 0.250
K: 0.750 0.750 0.750
Li: 0.000 0.000 0.000
Sb: 0.500 0.500 0.500
Br: 0.247 0.247 0.753
Br: 0.247 0.753 0.247
Br: 0.247 0.753 0.753
Br: 0.753 0.247 0.247
Br: 0.753 0.247 0.753
Br: 0.753 0.753 0.247

As for the density of states at the Fermi level: 0.000 states/eV per cell. The calculation puts the magnetic moment at 0.0 μB/cell. Its symmetry is Fm-3m. For the theoretical density, the calculation gives 3.371 g cm⁻³.



Which one sits at the bottom of the stability order? b does.



## a
An optimized crystal structure of KLiSeBr2. Source: the Alexandria database, functional GGA-PBE.

Lattice parameters (Å, degrees): 5.442 5.442 4.947 90.00 90.00 90.00
Atoms (fractional coordinates):
K: 0.000 0.000 0.000
Li: 0.500 0.500 0.500
Se: 0.500 0.500 0.000
Br: 0.000 0.500 0.500
Br: 0.500 0.000 0.500

As for the density of states at the Fermi level: 2.344 states/eV per cell. The calculation puts the magnetic moment at 2.0 μB/cell. Its symmetry is P4/mmm. For the theoretical density, the calculation gives 3.228 g cm⁻³.



## b
An optimized crystal structure of KLiSeBr2. Source: the Alexandria database, functional GGA-PBE.

Lattice parameters (Å, degrees): 6.164 6.164 5.983 90.00 90.00 90.00
Atoms (fractional coordinates):
K: 0.000 0.000 0.000
Li: 0.500 0.500 0.500
Se: 0.000 0.000 0.500
Br: 0.000 0.500 0.000
Br: 0.500 0.000 0.000

As for the density of states at the Fermi level: 4.926 states/eV per cell. The calculation puts the magnetic moment at 2.0 μB/cell. Its symmetry is P4/mmm. For the theoretical density, the calculation gives 2.080 g cm⁻³.



Which one sits at the bottom of the stability order? b does.



## a
An optimized crystal structure of K2MgBr. Source: the Alexandria database, functional GGA-PBE.

Lattice parameters (Å, degrees): 7.971 7.971 7.971 107.53 107.53 113.43
Atoms (fractional coordinates):
K: 0.070 0.625 0.945
K: 0.375 0.320 0.445
K: 0.680 0.125 0.055
K: 0.875 0.930 0.555
Mg: 0.250 0.750 0.500
Mg: 0.500 0.500 0.000
Br: 0.000 0.000 0.000
Br: 0.750 0.250 0.500

As for the density of states at the Fermi level: 6.214 states/eV per cell. The calculation puts the magnetic moment at 0.0 μB/cell. Its symmetry is I-42d. For the theoretical density, the calculation gives 1.560 g cm⁻³.



## b
An optimized crystal structure of K2MgBr. Source: the Alexandria database, functional GGA-PBE.

Lattice parameters (Å, degrees): 6.196 6.196 6.196 60.00 60.00 60.00
Atoms (fractional coordinates):
K: 0.000 0.000 0.000
K: 0.250 0.250 0.250
Mg: 0.750 0.750 0.750
Br: 0.500 0.500 0.500

As for the density of states at the Fermi level: 3.659 states/eV per cell. The calculation puts the magnetic moment at 0.4 μB/cell. Its symmetry is F-43m. For the theoretical density, the calculation gives 1.801 g cm⁻³.



## c
An optimized crystal structure of K2MgBr. Source: the Alexandria database, functional GGA-PBE.

Lattice parameters (Å, degrees): 10.946 10.946 10.946 22.74 22.74 22.74
Atoms (fractional coordinates):
K: 0.233 0.233 0.233
K: 0.767 0.767 0.767
Mg: 0.000 0.000 0.000
Br: 0.500 0.500 0.500

As for the density of states at the Fermi level: 1.995 states/eV per cell. The calculation puts the magnetic moment at 0.0 μB/cell. Its symmetry is R-3m. For the theoretical density, the calculation gives 1.762 g cm⁻³.



## d
An optimized crystal structure of K2MgBr. Source: the Alexandria database, functional GGA-PBE.

Lattice parameters (Å, degrees): 3.974 3.974 9.677 90.00 90.00 90.00
Atoms (fractional coordinates):
K: 0.000 0.000 0.206
K: 0.000 0.000 0.794
Mg: 0.500 0.500 0.500
Br: 0.500 0.500 0.000

As for the density of states at the Fermi level: 1.635 states/eV per cell. The calculation puts the magnetic moment at 0.0 μB/cell. Its symmetry is P4/mmm. For the theoretical density, the calculation gives 1.982 g cm⁻³.



Which one sits at the bottom of the stability order? b does.



## a
An optimized crystal structure of K2MgBr. Source: the Alexandria database, functional GGA-PBE.

Lattice parameters (Å, degrees): 7.214 7.214 7.214 144.11 116.93 74.75
Atoms (fractional coordinates):
K: 0.198 0.198 0.000
K: 0.802 0.802 0.000
Mg: 0.500 0.000 0.500
Br: 0.000 0.500 0.500

As for the density of states at the Fermi level: 1.913 states/eV per cell. The calculation puts the magnetic moment at 0.0 μB/cell. Its symmetry is Immm. For the theoretical density, the calculation gives 1.575 g cm⁻³.



## b
An optimized crystal structure of K2MgBr. Source: the Alexandria database, functional GGA-PBE.

Lattice parameters (Å, degrees): 4.246 4.246 10.727 90.00 90.00 90.00
Atoms (fractional coordinates):
K: 0.000 0.000 0.000
K: 0.500 0.500 0.411
Mg: 0.000 0.000 0.638
Br: 0.500 0.500 0.112

As for the density of states at the Fermi level: 1.339 states/eV per cell. The calculation puts the magnetic moment at 0.0 μB/cell. Its symmetry is P4mm. For the theoretical density, the calculation gives 1.567 g cm⁻³.



Which one sits at the bottom of the stability order? a does.



## a
An optimized crystal structure of K2MgBr. Source: the Alexandria database, functional GGA-PBE.

Lattice parameters (Å, degrees): 7.918 7.918 7.918 143.55 143.55 52.50
Atoms (fractional coordinates):
K: 0.000 0.000 0.000
K: 0.750 0.250 0.500
Mg: 0.250 0.750 0.500
Br: 0.500 0.500 0.000

As for the density of states at the Fermi level: 2.220 states/eV per cell. The calculation puts the magnetic moment at 0.0 μB/cell. Its symmetry is I-4m2. For the theoretical density, the calculation gives 1.739 g cm⁻³.



## b
An optimized crystal structure of K2MgBr. Source: the Alexandria database, functional GGA-PBE.

Lattice parameters (Å, degrees): 11.434 11.434 11.434 21.96 21.96 21.96
Atoms (fractional coordinates):
K: 0.000 0.000 0.000
K: 0.212 0.212 0.212
Mg: 0.457 0.457 0.457
Br: 0.730 0.730 0.730

As for the density of states at the Fermi level: 1.214 states/eV per cell. The calculation puts the magnetic moment at 0.0 μB/cell. Its symmetry is R3m. For the theoretical density, the calculation gives 1.653 g cm⁻³.



## c
An optimized crystal structure of K2MgBr. Source: the Alexandria database, functional GGA-PBE.

Lattice parameters (Å, degrees): 6.175 6.175 6.175 60.00 60.00 60.00
Atoms (fractional coordinates):
K: 0.250 0.250 0.250
K: 0.750 0.750 0.750
Mg: 0.000 0.000 0.000
Br: 0.500 0.500 0.500

As for the density of states at the Fermi level: 3.708 states/eV per cell. The calculation puts the magnetic moment at 0.0 μB/cell. Its symmetry is Fm-3m. For the theoretical density, the calculation gives 1.819 g cm⁻³.



Which one sits at the bottom of the stability order? c does.



## a
An optimized crystal structure of K2RbMgBr. Source: the Alexandria database, functional GGA-PBE.

Lattice parameters (Å, degrees): 6.799 6.799 7.144 90.00 90.00 90.00
Atoms (fractional coordinates):
K: 0.000 0.500 0.000
K: 0.500 0.000 0.000
Rb: 0.000 0.000 0.500
Mg: 0.000 0.000 0.000
Br: 0.500 0.500 0.500

As for the density of states at the Fermi level: 4.688 states/eV per cell. The calculation puts the magnetic moment at 0.0 μB/cell. Its symmetry is P4/mmm. For the theoretical density, the calculation gives 1.347 g cm⁻³.



## b
An optimized crystal structure of K2RbMgBr. Source: the Alexandria database, functional GGA-PBE.

Lattice parameters (Å, degrees): 7.707 7.707 6.136 90.00 90.00 90.00
Atoms (fractional coordinates):
K: 0.000 0.500 0.000
K: 0.500 0.000 0.000
Rb: 0.000 0.000 0.000
Mg: 0.500 0.500 0.500
Br: 0.000 0.000 0.500

As for the density of states at the Fermi level: 1.776 states/eV per cell. The calculation puts the magnetic moment at 0.0 μB/cell. Its symmetry is P4/mmm. For the theoretical density, the calculation gives 1.221 g cm⁻³.



Which one sits at the bottom of the stability order? b does.